1.
Cr3InGa (PBE, optimized geometry); formation energy = 4.9 eV per formula unit; size of the total moment = 10.0 μB/f.u.; density of states at the Fermi level = 0.856 states/eV/atom; final energy = -5.94 eV/atom
1.0
-3.887 -2.542 0.396
2.518 -3.611 1.533
-0.529 1.492 4.384
Cr Ga In
3 1 1
direct
0.000 0.500 0.000
0.000 0.000 0.500
0.500 0.000 0.000
0.000 0.000 0.000
0.500 0.500 0.500

2.
Sc2PbBr (PBE, optimized geometry); size of the total moment = 0.0 μB/f.u.; formation energy (no corrections) = -0.3038 eV per atom; density of states at the Fermi level = 1.315 states/eV/atom; final energy = -4.81 eV/atom
1.0
-2.262 -2.331 -1.397
2.463 0.906 -5.500
3.083 -3.475 0.808
Br Pb Sc
1 1 2
direct
0.500 0.000 0.500
0.000 0.500 0.500
0.000 0.000 0.000
0.500 0.500 0.000

3.
Hf6Al2Pt (PBE, optimized geometry); formation energy = -3.3 eV per formula unit; size of the total moment = 0.0 μB/f.u.; density of states at the Fermi level = 1.154 states/eV/atom; final energy = -8.51 eV/atom
1.0
-2.831 3.333 -0.168
-5.184 -4.696 -5.844
-4.631 -3.582 6.987
Hf Al Pt
12 4 2
direct
0.000 0.026 0.171
0.000 0.671 0.526
0.000 0.632 0.868
0.500 0.132 0.632
0.500 0.171 0.974
0.500 0.526 0.329
0.000 0.974 0.829
0.000 0.329 0.474
0.000 0.368 0.132
0.500 0.868 0.368
0.500 0.829 0.026
0.500 0.474 0.671
0.000 0.294 0.794
0.500 0.794 0.706
0.500 0.206 0.294
0.000 0.706 0.206
0.500 0.500 0.000
0.000 0.000 0.500

4.
AlSb2TeI (PBE, optimized geometry); size of the total moment = 0.0 μB/f.u.; formation energy (no corrections) = 0.4055 eV per atom; density of states at the Fermi level = 0.920 states/eV/atom; final energy = -2.93 eV/atom
1.0
5.474 0.000 0.000
0.000 5.474 0.000
0.000 0.000 5.213
I Sb Te Al
1 2 1 1
direct
0.000 0.000 0.500
0.000 0.500 0.000
0.500 0.000 0.000
0.500 0.500 0.500
0.000 0.000 0.000

5.
K3CuCl4 (PBE, optimized geometry); size of the total moment = 0.1 μB/f.u.; formation energy (no corrections) = -1.5213 eV per atom; density of states at the Fermi level = 0.000 states/eV/atom; final energy = -3.37 eV/atom
1.0
-0.902 -2.166 3.739
-7.040 -5.630 -4.961
8.426 -8.162 -2.694
K Cu Cl
6 2 8
direct
0.584 0.107 0.000
0.033 0.683 0.166
0.533 0.317 0.334
0.084 0.893 0.500
0.533 0.317 0.666
0.033 0.683 0.834
0.189 0.390 0.000
0.689 0.610 0.500
0.078 0.903 0.000
0.510 0.557 0.000
0.044 0.280 0.155
0.544 0.720 0.345
0.010 0.443 0.500
0.578 0.097 0.500
0.544 0.720 0.655
0.044 0.280 0.845

6.
AgP5 (PBE, optimized geometry); formation energy = 2.0 eV per formula unit; size of the total moment = 0.0 μB/f.u.; density of states at the Fermi level = 0.536 states/eV/atom; final energy = -4.65 eV/atom
1.0
2.144 -5.665 0.000
2.144 5.665 0.000
0.000 0.000 4.424
Ag P
1 5
direct
0.500 0.500 0.000
0.214 0.786 0.500
0.286 0.714 0.000
0.000 0.000 0.500
0.714 0.286 0.000
0.786 0.214 0.500

7.
Rb2BiI6N (PBE, optimized geometry); size of the total moment = 1.5 μB/f.u.; formation energy (no corrections) = -0.2882 eV per atom; density of states at the Fermi level = 0.233 states/eV/atom; final energy = -2.63 eV/atom
1.0
-3.811 -3.131 -6.265
-2.707 -5.919 4.605
-8.607 -0.941 0.633
I Bi Rb N
6 1 2 1
direct
0.234 0.234 0.531
0.766 0.766 0.469
0.273 0.273 0.000
0.727 0.727 0.000
0.727 0.273 0.000
0.273 0.727 0.000
0.000 0.000 0.000
0.750 0.250 0.500
0.250 0.750 0.500
0.500 0.500 0.000

8.
BC3 (PBE, optimized geometry); formation energy = 1.0 eV per formula unit; size of the total moment = 0.0 μB/f.u.; density of states at the Fermi level = 0.153 states/eV/atom; final energy = -8.33 eV/atom
1.0
-0.057 -0.383 -2.508
2.355 -0.797 0.068
-2.527 -7.364 1.181
B C
2 6
direct
0.500 0.500 0.726
0.500 0.000 0.899
0.500 0.500 0.257
0.500 0.000 0.368
0.000 0.000 0.485
0.000 0.500 0.596
0.000 0.000 0.029
0.000 0.500 0.140

9.
BaCa2HgPt (PBE, optimized geometry); formation energy = -2.6 eV per formula unit; size of the total moment = 0.0 μB/f.u.; density of states at the Fermi level = 0.606 states/eV/atom; final energy = -2.97 eV/atom
1.0
-4.199 3.428 -1.302
-1.498 0.203 5.366
3.691 4.843 0.847
Ca Hg Pt Ba
2 1 1 1
direct
0.000 0.500 0.000
0.500 0.000 0.000
0.500 0.500 0.500
0.000 0.000 0.000
0.000 0.000 0.500

10.
PdPt2Pb2 (PBE, optimized geometry); formation energy = 0.3 eV per formula unit; size of the total moment = 0.0 μB/f.u.; density of states at the Fermi level = 0.286 states/eV/atom; final energy = -4.88 eV/atom
1.0
7.696 0.000 0.000
0.000 7.696 0.000
0.000 0.000 3.498
Pb Pd Pt
4 2 4
direct
0.333 0.833 0.000
0.833 0.667 0.000
0.667 0.167 0.000
0.167 0.333 0.000
0.000 0.000 0.000
0.500 0.500 0.000
0.131 0.631 0.500
0.631 0.869 0.500
0.869 0.369 0.500
0.369 0.131 0.500

11.
Cr2PdSe (PBE, optimized geometry); size of the total moment = 7.0 μB/f.u.; formation energy (no corrections) = 0.3340 eV per atom; density of states at the Fermi level = 0.917 states/eV/atom; final energy = -6.65 eV/atom
1.0
6.993 0.000 0.000
0.000 6.993 0.000
3.496 3.496 2.800
Cr Se Pd
4 2 2
direct
0.603 0.125 0.250
0.147 0.625 0.250
0.375 0.397 0.750
0.875 0.853 0.750
0.500 0.500 0.000
0.250 0.750 0.500
0.000 0.000 0.000
0.750 0.250 0.500

12.
PrSnPt2 (PBE, optimized geometry); formation energy = -2.1 eV per formula unit; size of the total moment = 0.0 μB/f.u.; density of states at the Fermi level = 0.624 states/eV/atom; final energy = -5.75 eV/atom
1.0
5.610 0.000 0.000
0.000 5.562 0.000
0.000 0.000 13.055
Pr Sn Pt
4 4 8
direct
0.000 0.250 0.571
0.500 0.750 0.092
0.000 0.750 0.429
0.500 0.250 0.908
0.500 0.750 0.677
0.500 0.250 0.323
0.000 0.250 0.311
0.000 0.750 0.689
0.000 0.000 0.000
0.500 0.500 0.500
0.258 0.750 0.862
0.742 0.250 0.138
0.742 0.750 0.862
0.258 0.250 0.138
0.000 0.500 0.000
0.500 0.000 0.500

13.
NdDy2TmHg4 (PBE, optimized geometry); formation energy = -3.8 eV per formula unit; size of the total moment = 0.8 μB/f.u.; density of states at the Fermi level = 1.061 states/eV/atom; final energy = -2.93 eV/atom
1.0
5.275 0.000 0.000
2.638 4.568 0.000
2.638 1.523 8.694
Nd Dy Tm Hg
1 2 1 4
direct
0.000 0.000 0.000
0.751 0.751 0.747
0.249 0.249 0.253
0.500 0.500 0.500
0.378 0.378 0.865
0.873 0.873 0.382
0.127 0.127 0.618
0.622 0.622 0.135

14.
ScNiPtAu (PBE, optimized geometry); formation energy = -2.3 eV per formula unit; size of the total moment = 0.0 μB/f.u.; density of states at the Fermi level = 0.356 states/eV/atom; final energy = -5.93 eV/atom
1.0
4.510 0.000 0.000
2.255 3.906 0.000
2.255 1.302 3.682
Sc Ni Au Pt
1 1 1 1
direct
0.000 0.000 0.000
0.250 0.250 0.250
0.500 0.500 0.500
0.750 0.750 0.750

15.
Sc10Tl4O3 (PBE, optimized geometry); size of the total moment = 0.0 μB/f.u.; formation energy (no corrections) = -1.2607 eV per atom; density of states at the Fermi level = 0.568 states/eV/atom; final energy = -6.42 eV/atom
1.0
4.389 0.000 -0.596
-0.081 4.388 -0.596
0.049 0.050 16.821
Sc Tl O
10 4 3
direct
0.136 0.636 0.273
0.068 0.068 0.136
0.636 0.136 0.273
0.864 0.364 0.727
0.364 0.864 0.727
0.932 0.932 0.864
0.209 0.209 0.417
0.791 0.791 0.583
0.000 0.500 0.000
0.500 0.000 0.000
0.568 0.568 0.136
0.432 0.432 0.864
0.299 0.299 0.598
0.701 0.701 0.402
0.137 0.137 0.273
0.863 0.863 0.727
0.000 0.000 0.000

16.
CeThRuCl (PBE, optimized geometry); size of the total moment = 0.8 μB/f.u.; formation energy (no corrections) = -0.7480 eV per atom; density of states at the Fermi level = 1.736 states/eV/atom; final energy = -6.87 eV/atom
1.0
-3.204 -0.001 2.066
0.158 -1.948 -3.267
4.684 -5.899 3.739
Ce Th Ru Cl
1 1 1 1
direct
0.283 0.540 0.838
0.990 0.393 0.399
0.472 0.134 0.621
0.132 0.964 0.112

17.
KAgRuF6 (PBE, optimized geometry); size of the total moment = 2.0 μB/f.u.; formation energy (no corrections) = -1.8810 eV per atom; density of states at the Fermi level = 0.905 states/eV/atom; final energy = -4.60 eV/atom
1.0
-4.243 -2.522 3.536
-2.186 -5.507 -1.325
3.701 -2.165 2.901
K Ag Ru F
1 1 1 6
direct
0.000 0.000 0.000
0.666 0.666 0.500
0.333 0.333 0.500
0.063 0.338 0.290
0.338 0.063 0.710
0.600 0.338 0.710
0.061 0.601 0.709
0.338 0.600 0.290
0.601 0.062 0.291

18.
TaNbIr2 (PBE, optimized geometry); formation energy = -2.2 eV per formula unit; size of the total moment = 0.0 μB/f.u.; density of states at the Fermi level = 0.727 states/eV/atom; final energy = -10.47 eV/atom
1.0
-2.314 -1.247 1.180
1.441 -0.333 2.473
-2.518 6.947 2.401
Nb Ir Ta
1 2 1
direct
0.500 0.500 0.000
0.000 0.000 0.747
0.000 0.000 0.253
0.500 0.500 0.500

19.
Tl2SnN2 (PBE, optimized geometry); size of the total moment = 0.0 μB/f.u.; formation energy (no corrections) = 0.0559 eV per atom; density of states at the Fermi level = 0.158 states/eV/atom; final energy = -5.02 eV/atom
1.0
3.473 0.000 0.000
-1.736 3.006 0.079
0.000 0.253 14.129
Tl Sn N
2 1 2
direct
0.645 0.290 0.198
0.355 0.710 0.802
0.000 0.000 0.000
0.983 0.966 0.462
0.017 0.034 0.538

20.
AcLaGa2Pd5 (PBE, optimized geometry); formation energy = -7.0 eV per formula unit; size of the total moment = 0.0 μB/f.u.; density of states at the Fermi level = 0.671 states/eV/atom; final energy = -5.34 eV/atom
1.0
4.432 0.000 0.000
0.000 4.432 0.000
0.000 0.000 9.241
Ac La Ga Pd
1 1 2 5
direct
0.000 0.000 0.500
0.000 0.000 0.000
0.500 0.500 0.142
0.500 0.500 0.858
0.000 0.500 0.270
0.500 0.000 0.270
0.000 0.500 0.730
0.500 0.000 0.730
0.500 0.500 0.500

21.
YIn3Se (PBE, optimized geometry); size of the total moment = 0.0 μB/f.u.; formation energy (no corrections) = 0.2527 eV per atom; density of states at the Fermi level = 1.133 states/eV/atom; final energy = -3.38 eV/atom
1.0
-1.506 3.438 3.924
3.463 -2.396 3.428
3.901 3.453 -1.528
Y Se In
1 1 3
direct
0.500 0.500 0.500
0.000 0.000 0.000
0.000 0.500 0.000
0.000 0.000 0.500
0.500 0.000 0.000

22.
BeIr3Pb (PBE, optimized geometry); formation energy = 1.8 eV per formula unit; size of the total moment = 0.0 μB/f.u.; density of states at the Fermi level = 0.648 states/eV/atom; final energy = -6.45 eV/atom
1.0
-1.913 -1.375 -3.560
-2.232 -2.828 2.291
-3.096 2.888 0.548
Pb Be Ir
1 1 3
direct
0.500 0.500 0.500
0.000 0.000 0.000
0.000 0.500 0.000
0.000 0.000 0.500
0.500 0.000 0.000

23.
CoAs (PBE, optimized geometry); formation energy = -0.2 eV per formula unit; size of the total moment = 0.0 μB/f.u.; density of states at the Fermi level = 0.677 states/eV/atom; final energy = -5.97 eV/atom
1.0
-1.413 -2.891 -0.182
8.202 -4.350 5.423
-2.544 0.953 4.612
Co As
6 6
direct
0.500 0.806 0.593
0.500 0.194 0.593
0.500 0.306 0.093
0.500 0.694 0.093
0.000 0.000 0.494
0.000 0.500 0.994
0.000 0.325 0.760
0.000 0.675 0.760
0.000 0.825 0.260
0.000 0.175 0.260
0.500 0.000 0.802
0.500 0.500 0.302

24.
PrCdTe (PBE, optimized geometry); size of the total moment = 0.0 μB/f.u.; formation energy (no corrections) = -0.8421 eV per atom; density of states at the Fermi level = 0.236 states/eV/atom; final energy = -3.79 eV/atom
1.0
-3.180 3.760 1.375
-3.913 -0.982 3.140
2.638 2.676 8.288
Te Cd Pr
2 2 2
direct
0.288 0.288 0.137
0.712 0.712 0.863
0.168 0.168 0.496
0.832 0.832 0.504
0.422 0.422 0.733
0.578 0.578 0.267